{"formula": "PrGa", "functional": "SCAN", "state": "PBEsol geometry", "ef_ev_per_atom": -0.70, "spacegroup": "Cmcm", "final_energy_ev_per_atom": -30.534, "lattice": [[-0.5575, 3.6996, -1.7386], [-4.2131, -1.0158, -0.8107], [-3.5832, 1.6218, 4.6001]], "species": ["Ga", "Pr", "Pr", "Ga"], "fractional_positions": [[0.2500, 0.4314, 0.1373], [0.7500, 0.8568, 0.2864], [0.2500, 0.1432, 0.7136], [0.7500, 0.5686, 0.8627]]}